1.
Computed, not measured: crystalline Tb2Pm4Tl3H2 at its relaxed geometry at the GGA-PBE level of DFT.

Output
The calculation puts the size of the total moment at 0.00 Bohr magnetons per cell. The mass density comes out at 8611 kg/m³. The total energy comes out at -4.099 eV per atom. As for the space-group type: No. 139.

abc: 13.032 13.032 13.032
angles: 158.70 158.70 30.30
Sites, in units of the cell vectors:
Tb: 0.200 0.200 0.000
Tb: 0.800 0.800 0.000
Pm: 0.086 0.586 0.500
Pm: 0.414 0.914 0.500
Pm: 0.586 0.086 0.500
Pm: 0.914 0.414 0.500
Tl: 0.324 0.324 0.000
Tl: 0.500 0.500 0.000
Tl: 0.676 0.676 0.000
H: 0.107 0.107 0.000
H: 0.893 0.893 0.000


2.
Computed, not measured: crystalline TiAl2Pt9 at its relaxed geometry at the GGA-PBE level of DFT.

Output
The calculation puts the size of the total moment at 0.00 Bohr magnetons per cell. The calculation puts the formation enthalpy at 0 K at -0.781 eV/atom. The mass density comes out at 16958 kg/m³. The total energy comes out at -6.593 eV per atom. As for the space-group type: No. 123.

abc: 3.933 3.933 11.762
angles: 90.00 90.00 90.00
Sites, in units of the cell vectors:
Ti: 0.000 0.000 0.000
Al: 0.000 0.000 0.337
Al: 0.000 0.000 0.663
Pt: 0.000 0.500 0.166
Pt: 0.000 0.500 0.500
Pt: 0.000 0.500 0.834
Pt: 0.500 0.000 0.166
Pt: 0.500 0.000 0.500
Pt: 0.500 0.000 0.834
Pt: 0.500 0.500 0.000
Pt: 0.500 0.500 0.333
Pt: 0.500 0.500 0.667


3.
Computed, not measured: crystalline Ba2CdGaO5 at its relaxed geometry at the GGA-PBE level of DFT.

Output
The calculation puts the size of the total moment at 2.07 Bohr magnetons per cell. The mass density comes out at 5932 kg/m³. The total energy comes out at -5.452 eV per atom. As for the formation energy (no corrections): -1.8318 eV per atom. As for the space-group type: No. 36.

abc: 7.823 7.823 11.181
angles: 90.00 90.00 153.95
Sites, in units of the cell vectors:
Ba: 0.107 0.893 0.500
Ba: 0.138 0.862 0.141
Ba: 0.862 0.138 0.641
Ba: 0.893 0.107 0.000
Cd: 0.209 0.791 0.847
Cd: 0.791 0.209 0.347
Ga: 0.448 0.552 0.261
Ga: 0.552 0.448 0.761
O: 0.042 0.958 0.838
O: 0.287 0.713 0.481
O: 0.327 0.673 0.216
O: 0.355 0.645 0.825
O: 0.495 0.505 0.616
O: 0.505 0.495 0.116
O: 0.645 0.355 0.325
O: 0.673 0.327 0.716
O: 0.713 0.287 0.981
O: 0.958 0.042 0.338